Here is a geometry-optimized BeCd2W structure from Alexandria via LeMat-Bulk. Energies are from GGA-PBE.

Cell lengths 5.2095, 5.2095, 2.8062 Å; angles 93.14, 93.14, 116.97 degrees
With the nearest neighbours (Å) after each atom.
Sites, in units of the cell vectors:
Be 0.0000 0.0000 0.0000  2 W 2.72, 2 Be 2.81, 8 Cd 2.89-3.03
Cd 0.0000 0.5000 0.5000  4 Cd 2.72-2.81, 4 W 2.89-3.03, 4 Be 2.89-3.03
Cd 0.5000 0.0000 0.5000  4 Cd 2.72-2.81, 4 W 2.89-3.03, 4 Be 2.89-3.03
W 0.5000 0.5000 0.0000  2 Be 2.72, 2 W 2.81, 8 Cd 2.89-3.03

Computed properties:
- DFT formation energy: 0.63 eV/atom
- Magnetic moment: 0.0 Bohr magnetons per cell
- Density: 10.27 Mg/m³
- N(E_F): 0.944 states/eV/f.u.